Material: Ac2SbAs3Ir4
Method: DFT, GGA-PBE
State: optimized geometry

a b c (Å): 4.3902 4.3902 10.6667
angles (deg): 90.00 90.00 90.00
Sites, in units of the cell vectors:
Ac: 0.0000 0.5000 0.2429
Ac: 0.5000 0.0000 0.7571
Sb: 0.0000 0.0000 0.5000
As: 0.0000 0.5000 0.8669
As: 0.5000 0.0000 0.1331
As: 0.5000 0.5000 0.5000
Ir: 0.0000 0.0000 0.0000
Ir: 0.0000 0.5000 0.6332
Ir: 0.5000 0.0000 0.3668
Ir: 0.5000 0.5000 0.0000

The calculation puts the uncorrected formation energy at -6.7 eV/f.u. As for the space group: No. 115.